Material: Tm8HgBi2
Method: DFT, GGA-PBE
State: relaxed

Structure (CIF):
```
data_Tm8HgBi2
_chemical_formula_sum 'Tm16 Hg2 Bi4'
_space_group_name_H-M_alt 'C 1 2/m 1'
_space_group_IT_number 12
_cell_length_a 17.958
_cell_length_b 5.097
_cell_length_c 6.905
_cell_angle_alpha 90.00
_cell_angle_beta 93.05
_cell_angle_gamma 90.00
loop_
_space_group_symop_operation_xyz
'x,y,z'
'-x,-y,-z'
'-x,y,-z'
'x,-y,z'
'x+1/2,y+1/2,z'
'-x+1/2,-y+1/2,-z'
'-x+1/2,y+1/2,-z'
'x+1/2,-y+1/2,z'
loop_
_atom_site_label
_atom_site_fract_x
_atom_site_fract_y
_atom_site_fract_z
Tm1 0.031 0.000 0.246
Tm2 0.091 0.500 0.940
Tm3 0.162 0.500 0.404
Tm4 0.213 0.000 0.120
Hg1 0.000 0.500 0.500
Bi1 0.161 0.000 0.672
```

ρ = 10.4 g/cm3
E_form = -0.3105 eV per atom